PBE Ac3Pr5Y2, optimized geometry; crystal system = orthorhombic; DOS at the Fermi energy = 29.6 states/eV/cell; DFT formation energy = 0.3271 eV per atom; spin magnetization = 0.0 μB/cell; space group = Ibam; raw total energy = -91.760 eV/cell
1.0
-4.139 -10.351 1.918
9.319 -3.586 0.761
-2.653 8.300 5.711
Pr Y Ac
10 4 6
direct
0.619 0.717 0.238
0.495 0.745 0.490
0.505 0.255 0.510
0.881 0.479 0.762
0.750 0.500 0.000
0.381 0.283 0.762
0.995 0.745 0.490
0.005 0.255 0.510
0.119 0.521 0.238
0.250 0.500 0.000
0.136 0.232 0.273
0.636 0.041 0.273
0.364 0.959 0.727
0.864 0.768 0.727
0.125 0.879 0.249
0.375 0.629 0.751
0.250 0.000 0.000
0.875 0.121 0.751
0.625 0.371 0.249
0.750 0.000 0.000

PBE Ca2ScGeO, optimized geometry; crystal system = tetragonal; DOS at the Fermi energy = 3.1 states/eV/cell; spin magnetization = 0.0 μB/cell; E_form (uncorrected) = -1438 meV/atom; space group = P4/mmm; raw total energy = -27.100 eV/cell
1.0
-4.378 -1.678 0.130
0.975 -2.823 -3.616
1.298 -3.170 2.824
Ca O Ge Sc
2 1 1 1
direct
0.000 0.500 0.000
0.500 0.000 0.000
0.000 0.000 0.000
0.500 0.500 0.500
0.000 0.000 0.500

PBE LiNp2TlCl8, optimized geometry; crystal system = triclinic; DOS at the Fermi energy = 11.4 states/eV/cell; spin magnetization = 8.0 μB/cell; E_form (uncorrected) = -1585 meV/atom; space group = P-1; raw total energy = -63.955 eV/cell
1.0
6.834 0.329 -0.035
0.426 6.618 0.039
-0.031 0.073 8.558
Li Cl Tl Np
1 8 1 2
direct
0.000 0.000 0.000
0.359 0.301 0.501
0.343 0.293 0.001
0.641 0.699 0.499
0.181 0.775 0.795
0.177 0.770 0.214
0.657 0.707 0.999
0.823 0.230 0.786
0.819 0.225 0.205
0.000 0.000 0.500
0.500 0.499 0.241
0.500 0.501 0.759

PBE Ca2TaIr, optimized geometry; crystal system = orthorhombic; energy relative to the lowest polymorph listed for this composition = 465 meV per atom; DOS at the Fermi energy = 4.0 states/eV/cell; DFT formation energy = 0.3742 eV per atom; spin magnetization = 0.0 μB/cell; space group = Cmmm; raw total energy = -23.220 eV/cell
1.0
-2.051 2.051 0.841
-1.167 -0.043 -2.785
-5.946 -7.011 2.600
Ca Ta Ir
2 1 1
direct
0.000 0.000 0.037
0.000 0.000 0.463
0.500 0.500 0.750
0.500 0.500 0.250

PBE AcEuGdHg, optimized geometry; crystal system = cubic; DOS at the Fermi energy = 6.1 states/eV/cell; DFT formation energy = 0.0278 eV per atom; spin magnetization = 0.2 μB/cell; space group = F-43m; raw total energy = -28.654 eV/cell
1.0
5.729 0.000 0.000
2.865 4.962 0.000
2.865 1.654 4.678
Eu Gd Ac Hg
1 1 1 1
direct
0.000 0.000 0.000
0.500 0.500 0.500
0.250 0.250 0.250
0.750 0.750 0.750

PBE KCuMoIr2, optimized geometry; crystal system = tetragonal; DOS at the Fermi energy = 4.9 states/eV/cell; DFT formation energy = 1.6827 eV per atom; spin magnetization = 0.0 μB/cell; space group = P4/mmm; raw total energy = -25.333 eV/cell
1.0
4.717 0.000 0.000
0.000 5.646 0.000
0.000 0.000 4.717
Ir Cu K Mo
2 1 1 1
direct
0.500 0.000 0.000
0.000 0.000 0.500
0.500 0.500 0.500
0.000 0.500 0.000
0.000 0.000 0.000

PBE PIrRuS2, optimized geometry; crystal system = tetragonal; energy relative to the lowest polymorph listed for this composition = 0 meV per atom; DOS at the Fermi energy = 5.5 states/eV/cell; spin magnetization = 2.7 μB/cell; E_form (uncorrected) = 1124 meV/atom; space group = P4/mmm; raw total energy = -26.181 eV/cell
1.0
4.748 0.000 0.000
0.000 4.748 0.000
0.000 0.000 4.417
S Ru P Ir
2 1 1 1
direct
0.500 0.000 0.000
0.000 0.500 0.000
0.500 0.500 0.500
0.000 0.000 0.500
0.000 0.000 0.000

PBE Pr6As3Se2I, optimized geometry; crystal system = monoclinic; DOS at the Fermi energy = 4.8 states/eV/cell; spin magnetization = 0.0 μB/cell; E_form (uncorrected) = -1573 meV/atom; space group = C2/m; raw total energy = -70.020 eV/cell
1.0
4.307 0.000 0.000
0.000 8.771 0.240
-2.154 -2.602 9.152
Pr As Se I
6 3 2 1
direct
0.321 0.918 0.642
0.665 0.591 0.330
0.679 0.082 0.358
0.001 0.720 0.003
0.335 0.409 0.670
0.999 0.280 0.997
0.500 0.500 0.000
0.837 0.167 0.674
0.163 0.833 0.326
0.834 0.668 0.667
0.166 0.332 0.333
0.500 0.000 0.000

- What is the formula in the eighth record?
  Pr6As3Se2I

Copy entry 3 word for word.
PBE LiNp2TlCl8, optimized geometry; crystal system = triclinic; DOS at the Fermi energy = 11.4 states/eV/cell; spin magnetization = 8.0 μB/cell; E_form (uncorrected) = -1585 meV/atom; space group = P-1; raw total energy = -63.955 eV/cell
1.0
6.834 0.329 -0.035
0.426 6.618 0.039
-0.031 0.073 8.558
Li Cl Tl Np
1 8 1 2
direct
0.000 0.000 0.000
0.359 0.301 0.501
0.343 0.293 0.001
0.641 0.699 0.499
0.181 0.775 0.795
0.177 0.770 0.214
0.657 0.707 0.999
0.823 0.230 0.786
0.819 0.225 0.205
0.000 0.000 0.500
0.500 0.499 0.241
0.500 0.501 0.759

- spin magnetization of number 5 (AcEuGdHg)?
  0.2 μB/cell